First-principles (GGA-PBE) data for crystalline AlP2NF at its relaxed geometry, as listed in Alexandria via LeMat-Bulk.

total magnetization: 0.0 μB/f.u.
E: -21.99 eV for the cell shown

Cell: 4.671 3.469 4.671 Å, 90.00 90.00 90.00°
Positions (direct):
F 0.000 0.500 0.000
Al 0.000 0.000 0.000
P 0.500 0.000 0.000
P 0.000 0.000 0.500
N 0.500 0.500 0.500